First-principles (PBE) data for crystalline Rb2LaZrMo at its relaxed geometry, as listed in the Alexandria database.

E_form	1.5067	eV/atom
DFT total energy	-3.742	eV/atom

CIF file:
```
data_Rb2LaZrMo
_chemical_formula_sum 'Rb2 La1 Zr1 Mo1'
_symmetry_space_group_name_H-M 'P 4/m m m'
_symmetry_Int_Tables_number 123
_symmetry_space_group_name_Hall '-P 4 2'
_cell_length_a 6.233
_cell_length_b 6.233
_cell_length_c 4.715
_cell_angle_alpha 90.00
_cell_angle_beta 90.00
_cell_angle_gamma 90.00
loop_
_atom_site_label
_atom_site_type_symbol
_atom_site_fract_x
_atom_site_fract_y
_atom_site_fract_z
_atom_site_occupancy
Rb1 Rb 0.000 0.500 0.000 1
La1 La 0.000 0.000 0.500 1
Zr1 Zr 0.500 0.500 0.500 1
Mo1 Mo 0.500 0.500 0.000 1
```